{
  "formula": "BSCl2O",
  "functional": "PBE",
  "state": "relaxed",
  "magnetic_moment_mub_per_fu": 0.00,
  "polymorph_energy_mev_per_atom": 0,
  "volume_a3_per_cell": 75.6,
  "raw_formation_energy_ev_per_atom": 1.116,
  "sg": "P4/mmm, No. 123",
  "lattice": [[4.015, 0.000, 0.000], [0.000, 4.015, 0.000], [0.000, 0.000, 4.688]],
  "species": ["B", "S", "Cl", "Cl", "O"],
  "fractional_positions": [[0.000, 0.000, 0.000], [0.000, 0.000, 0.500], [0.000, 0.500, 0.000], [0.500, 0.000, 0.000], [0.500, 0.500, 0.500]]
}